Record 1
A plane-wave DFT calculation with PBEsol was carried out for a relaxed Mg16Al12Sn crystal.

Summary:
Formation enthalpy at 0 K: -0.4 eV/f.u.
Fermi-level density of states: 0.3894 states/eV/atom
DFT total energy: -2.80 eV/atom

```
data_Mg16Al12Sn
_cell_length_a 10.471
_cell_length_b 14.641
_cell_length_c 9.012
_cell_angle_alpha 90.00
_cell_angle_beta 123.42
_cell_angle_gamma 90.00
_symmetry_space_group_name_H-M 'C 1 m 1'
_symmetry_Int_Tables_number 8
_symmetry_space_group_name_Hall 'C -2y'
loop_
_atom_site_label
_atom_site_type_symbol
_atom_site_fract_x
_atom_site_fract_y
_atom_site_fract_z
Mg1 Mg 0.000 0.000 0.000
Mg2 Mg 0.001 0.000 0.655
Mg3 Mg 0.057 0.345 0.053
Mg4 Mg 0.156 0.160 0.252
Mg5 Mg 0.163 0.500 0.323
Mg6 Mg 0.172 0.177 0.646
Mg7 Mg 0.187 0.500 0.943
Mg8 Mg 0.301 0.298 0.973
Mg9 Mg 0.463 0.139 0.656
Mg10 Mg 0.486 0.195 0.336
Al1 Al 0.004 0.185 0.841
Al2 Al 0.179 0.000 0.472
Al3 Al 0.233 0.408 0.664
Al4 Al 0.269 0.095 0.008
Al5 Al 0.319 0.314 0.471
Al6 Al 0.368 0.000 0.828
Al7 Al 0.408 0.407 0.286
Sn1 Sn 0.385 0.000 0.353
```

=====

Record 2
A plane-wave DFT calculation with PBEsol was carried out for a relaxed ScHgSbTe2 crystal.

Summary:
Fermi-level density of states: 1.0212 states/eV/atom
DFT total energy: -3.79 eV/atom
Formation energy from raw total energies: -0.03 eV/atom

```
data_ScHgSbTe2
_cell_length_a 5.416
_cell_length_b 5.416
_cell_length_c 5.491
_cell_angle_alpha 90.00
_cell_angle_beta 90.00
_cell_angle_gamma 90.00
_symmetry_space_group_name_H-M 'P 4/m m m'
_symmetry_Int_Tables_number 123
_symmetry_space_group_name_Hall '-P 4 2'
loop_
_atom_site_label
_atom_site_type_symbol
_atom_site_fract_x
_atom_site_fract_y
_atom_site_fract_z
Sc1 Sc 0.000 0.000 0.000
Hg1 Hg 0.500 0.500 0.500
Sb1 Sb 0.000 0.000 0.500
Te1 Te 0.000 0.500 0.000
```

=====

Record 3
A plane-wave DFT calculation with PBEsol was carried out for a relaxed ZrTi2Rh crystal.

Summary:
Formation enthalpy at 0 K: -1.1 eV/f.u.
Fermi-level density of states: 1.3586 states/eV/atom
DFT total energy: -8.75 eV/atom

```
data_ZrTi2Rh
_cell_length_a 6.348
_cell_length_b 6.348
_cell_length_c 6.348
_cell_angle_alpha 90.00
_cell_angle_beta 90.00
_cell_angle_gamma 90.00
_symmetry_space_group_name_H-M 'F m -3 m'
_symmetry_Int_Tables_number 225
_symmetry_space_group_name_Hall '-F 4 2 3'
loop_
_atom_site_label
_atom_site_type_symbol
_atom_site_fract_x
_atom_site_fract_y
_atom_site_fract_z
Zr1 Zr 0.000 0.000 0.000
Ti1 Ti 0.250 0.250 0.250
Rh1 Rh 0.000 0.000 0.500
```

=====

Record 4
A plane-wave DFT calculation with PBEsol was carried out for a relaxed MgZn2Ni crystal.

Summary:
Formation enthalpy at 0 K: -0.5 eV/f.u.
Fermi-level density of states: 0.4143 states/eV/atom
DFT total energy: -2.89 eV/atom

```
data_MgZn2Ni
_cell_length_a 2.943
_cell_length_b 3.160
_cell_length_c 5.994
_cell_angle_alpha 90.00
_cell_angle_beta 90.00
_cell_angle_gamma 90.00
_symmetry_space_group_name_H-M 'P m m 2'
_symmetry_Int_Tables_number 25
_symmetry_space_group_name_Hall 'P 2 -2'
loop_
_atom_site_label
_atom_site_type_symbol
_atom_site_fract_x
_atom_site_fract_y
_atom_site_fract_z
Mg1 Mg 0.000 0.000 0.000
Zn1 Zn 0.000 0.000 0.454
Zn2 Zn 0.500 0.500 0.698
Ni1 Ni 0.500 0.500 0.255
```

=====

Record 5
A plane-wave DFT calculation with PBEsol was carried out for a relaxed MgTe2Au crystal.

Summary:
Fermi-level density of states: 0.2801 states/eV/atom
DFT total energy: -3.55 eV/atom
Formation energy from raw total energies: -0.38 eV/atom

```
data_MgTe2Au
_cell_length_a 5.007
_cell_length_b 5.687
_cell_length_c 6.849
_cell_angle_alpha 90.00
_cell_angle_beta 90.00
_cell_angle_gamma 90.00
_symmetry_space_group_name_H-M 'A m m 2'
_symmetry_Int_Tables_number 38
_symmetry_space_group_name_Hall 'A 2 -2'
loop_
_atom_site_label
_atom_site_type_symbol
_atom_site_fract_x
_atom_site_fract_y
_atom_site_fract_z
Mg1 Mg 0.000 0.000 0.000
Te1 Te 0.000 0.000 0.580
Te2 Te 0.500 0.000 0.204
Au1 Au 0.500 0.000 0.776
```

=====

Record 6
A plane-wave DFT calculation with PBEsol was carried out for a relaxed CuHgPb crystal.

Summary:
Formation enthalpy at 0 K: 0.5 eV/f.u.
Fermi-level density of states: 0.4925 states/eV/atom
DFT total energy: -2.78 eV/atom

```
data_CuHgPb
_cell_length_a 4.607
_cell_length_b 4.630
_cell_length_c 11.752
_cell_angle_alpha 90.00
_cell_angle_beta 90.00
_cell_angle_gamma 90.00
_symmetry_space_group_name_H-M 'F m m 2'
_symmetry_Int_Tables_number 42
_symmetry_space_group_name_Hall 'F 2 -2'
loop_
_atom_site_label
_atom_site_type_symbol
_atom_site_fract_x
_atom_site_fract_y
_atom_site_fract_z
Cu1 Cu 0.000 0.000 0.000
Hg1 Hg 0.000 0.000 0.374
Pb1 Pb 0.000 0.000 0.658
```

=====

Record 7
A plane-wave DFT calculation with PBEsol was carried out for a relaxed Li2AlIn crystal.

Summary:
Formation enthalpy at 0 K: -0.8 eV/f.u.
Fermi-level density of states: 0.3496 states/eV/atom
DFT total energy: -2.94 eV/atom

```
data_Li2AlIn
_cell_length_a 3.237
_cell_length_b 3.237
_cell_length_c 6.466
_cell_angle_alpha 90.00
_cell_angle_beta 90.00
_cell_angle_gamma 90.00
_symmetry_space_group_name_H-M 'P 4/m m m'
_symmetry_Int_Tables_number 123
_symmetry_space_group_name_Hall '-P 4 2'
loop_
_atom_site_label
_atom_site_type_symbol
_atom_site_fract_x
_atom_site_fract_y
_atom_site_fract_z
Li1 Li 0.000 0.000 0.237
Al1 Al 0.500 0.500 0.000
In1 In 0.500 0.500 0.500
```

=====

Record 8
A plane-wave DFT calculation with PBEsol was carried out for a relaxed BaY2NiO5 crystal.

Summary:
Fermi-level density of states: 0.2209 states/eV/atom
DFT total energy: -8.09 eV/atom
Formation energy from raw total energies: -2.73 eV/atom

```
data_BaY2NiO5
_cell_length_a 3.723
_cell_length_b 5.713
_cell_length_c 11.245
_cell_angle_alpha 90.00
_cell_angle_beta 90.00
_cell_angle_gamma 90.00
_symmetry_space_group_name_H-M 'I m m m'
_symmetry_Int_Tables_number 71
_symmetry_space_group_name_Hall '-I 2 2'
loop_
_atom_site_label
_atom_site_type_symbol
_atom_site_fract_x
_atom_site_fract_y
_atom_site_fract_z
Ba1 Ba 0.000 0.000 0.000
Y1 Y 0.000 0.500 0.202
Ni1 Ni 0.000 0.000 0.500
O1 O 0.000 0.240 0.351
O2 O 0.000 0.500 0.000
```

=====

Record 9
A plane-wave DFT calculation with PBEsol was carried out for a relaxed Ta2SiHg crystal.

Summary:
Fermi-level density of states: 0.5975 states/eV/atom
DFT total energy: -7.74 eV/atom
Formation energy from raw total energies: 0.12 eV/atom

```
data_Ta2SiHg
_cell_length_a 10.121
_cell_length_b 2.880
_cell_length_c 4.840
_cell_angle_alpha 90.00
_cell_angle_beta 106.45
_cell_angle_gamma 90.00
_symmetry_space_group_name_H-M 'C 1 m 1'
_symmetry_Int_Tables_number 8
_symmetry_space_group_name_Hall 'C -2y'
loop_
_atom_site_label
_atom_site_type_symbol
_atom_site_fract_x
_atom_site_fract_y
_atom_site_fract_z
Ta1 Ta 0.000 0.000 0.000
Ta2 Ta 0.217 0.000 0.635
Si1 Si 0.486 0.000 0.502
Hg1 Hg 0.254 0.500 0.158
```

=====

Record 10
A plane-wave DFT calculation with PBEsol was carried out for a relaxed MnCoOs2 crystal.

Summary:
Formation enthalpy at 0 K: 0.9 eV/f.u.
Fermi-level density of states: 1.3681 states/eV/atom
DFT total energy: -10.26 eV/atom

```
data_MnCoOs2
_cell_length_a 2.6350
_cell_length_b 2.6350
_cell_length_c 24.9338
_cell_angle_alpha 90.00
_cell_angle_beta 90.00
_cell_angle_gamma 120.00
_symmetry_space_group_name_H-M 'R 3 m'
_symmetry_Int_Tables_number 160
_symmetry_space_group_name_Hall 'R 3 -2"'
loop_
_atom_site_label
_atom_site_type_symbol
_atom_site_fract_x
_atom_site_fract_y
_atom_site_fract_z
Mn1 Mn 0.0000 0.0000 0.0000
Co1 Co 0.0000 0.0000 0.2558
Os1 Os 0.0000 0.0000 0.5061
Os2 Os 0.0000 0.0000 0.7492
```

=====

Record 11
A plane-wave DFT calculation with PBEsol was carried out for a relaxed FeCo2Os crystal.

Summary:
Formation enthalpy at 0 K: 1.3 eV/f.u.
Fermi-level density of states: 2.0364 states/eV/atom
DFT total energy: -8.83 eV/atom

```
data_FeCo2Os
_cell_length_a 5.682
_cell_length_b 5.682
_cell_length_c 5.682
_cell_angle_alpha 90.00
_cell_angle_beta 90.00
_cell_angle_gamma 90.00
_symmetry_space_group_name_H-M 'F m -3 m'
_symmetry_Int_Tables_number 225
_symmetry_space_group_name_Hall '-F 4 2 3'
loop_
_atom_site_label
_atom_site_type_symbol
_atom_site_fract_x
_atom_site_fract_y
_atom_site_fract_z
Fe1 Fe 0.000 0.000 0.000
Co1 Co 0.250 0.250 0.250
Os1 Os 0.000 0.000 0.500
```

=====

Record 12
A plane-wave DFT calculation with PBEsol was carried out for a relaxed Ce3GaBr3 crystal.

Summary:
Fermi-level density of states: 3.1651 states/eV/atom
DFT total energy: -5.23 eV/atom
Formation energy from raw total energies: -1.12 eV/atom

```
data_Ce3GaBr3
_cell_length_a 5.897
_cell_length_b 5.897
_cell_length_c 5.897
_cell_angle_alpha 90.00
_cell_angle_beta 90.00
_cell_angle_gamma 90.00
_symmetry_space_group_name_H-M 'P m -3 m'
_symmetry_Int_Tables_number 221
_symmetry_space_group_name_Hall '-P 4 2 3'
loop_
_atom_site_label
_atom_site_type_symbol
_atom_site_fract_x
_atom_site_fract_y
_atom_site_fract_z
Ce1 Ce 0.000 0.000 0.500
Ga1 Ga 0.000 0.000 0.000
Br1 Br 0.000 0.500 0.500
```

=====

Which of these has the highest Fermi-level density of states? Ce3GaBr3

=====

Which formula does entry 7 have? Li2AlIn